The following is a DFT calculation (PBE-GGA) of a relaxed structure of AgBPd2Pb.

Calculated values
D(E_F) ... 2.040 states/eV/cell
Symmetry ... P4/mmm
V ... 16.967 Å³/atom
Formation energy from the elements ... 0.028 eV per atom

POSCAR file:
```
AgBPd2Pb
1.0
4.3304 0.0000 0.0000
0.0000 4.3304 0.0000
0.0000 0.0000 4.5238
Pd Ag B Pb
2 1 1 1
Direct
0.0000 0.5000 0.0000 Pd
0.5000 0.0000 0.0000 Pd
0.0000 0.0000 0.5000 Ag
0.0000 0.0000 0.0000 B
0.5000 0.5000 0.5000 Pb
```